Entry 1:
Compound: LiAg2SnS4
Source: Alexandria
Functional: PBE
Structure: relaxed

Output
Size of the total moment (μB/atom): 0.000
Space-group type: I-4
E_form (uncorrected) (meV per atom): -385

abc: 6.985 6.985 6.985
angles: 131.21 131.21 71.48
Fractional coordinates of all 8 atoms:
Li  0.000  0.000  0.000
Ag  0.500  0.500  0.000
Ag  0.750  0.250  0.500
Sn  0.250  0.750  0.500
S  0.127  0.112  0.488
S  0.361  0.873  0.985
S  0.624  0.639  0.512
S  0.888  0.376  0.015

=====

Entry 2:
Compound: Ti2Ag2Sn
Source: Alexandria
Functional: PBE
Structure: relaxed

Output
Size of the total moment (μB/atom): 0.000
Space-group type: P4/mbm
Polymorph energy (0 for the lowest one) (meV per atom): 0.0

abc: 7.693 7.693 3.169
angles: 90.00 90.00 90.00
Fractional coordinates of all 10 atoms:
Ti  0.171  0.329  0.000
Ti  0.329  0.829  0.000
Ti  0.671  0.171  0.000
Ti  0.829  0.671  0.000
Ag  0.126  0.626  0.500
Ag  0.374  0.126  0.500
Ag  0.626  0.874  0.500
Ag  0.874  0.374  0.500
Sn  0.000  0.000  0.500
Sn  0.500  0.500  0.500

=====

Entry 3:
Compound: CrCuNiGe
Source: Alexandria
Functional: PBE
Structure: relaxed

Output
Raw total energy (eV/f.u.): -24.16
Size of the total moment (μB/atom): 0.694
Space-group type: F-43m

abc: 4.148 4.148 4.148
angles: 60.00 60.00 60.00
Fractional coordinates of all 4 atoms:
Cr  0.000  0.000  0.000
Cu  0.750  0.750  0.750
Ni  0.500  0.500  0.500
Ge  0.250  0.250  0.250

=====

Entry 4:
Compound: LiGeRh2O6
Source: Alexandria
Functional: PBE
Structure: relaxed

Output
Size of the total moment (μB/atom): 0.184
Space-group type: P4mm
E_form (uncorrected) (meV per atom): -615

abc: 5.098 5.098 4.744
angles: 90.00 90.00 90.00
Fractional coordinates of all 10 atoms:
Li  0.000  0.000  0.000
Ge  0.500  0.500  0.022
Rh  0.000  0.500  0.373
Rh  0.500  0.000  0.373
O  0.000  0.000  0.593
O  0.257  0.257  0.181
O  0.257  0.743  0.181
O  0.500  0.500  0.659
O  0.743  0.257  0.181
O  0.743  0.743  0.181

=====

Entry 5:
Compound: ErLuScHg
Source: Alexandria
Functional: PBE
Structure: relaxed

Output
Raw total energy (eV/f.u.): -15.97
Size of the total moment (μB/atom): 0.189
Space-group type: F-43m

abc: 5.250 5.250 5.250
angles: 60.00 60.00 60.00
Fractional coordinates of all 4 atoms:
Er  0.000  0.000  0.000
Lu  0.500  0.500  0.500
Sc  0.250  0.250  0.250
Hg  0.750  0.750  0.750

=====

Entry 6:
Compound: SmSn4
Source: Alexandria
Functional: PBE
Structure: relaxed

Output
Size of the total moment (μB/atom): 0.000
Space-group type: Pm-3m
Polymorph energy (0 for the lowest one) (meV per atom): 905.7

abc: 5.813 5.813 5.813
angles: 90.00 90.00 90.00
Fractional coordinates of all 5 atoms:
Sm  0.000  0.000  0.000
Sn  0.000  0.000  0.500
Sn  0.000  0.500  0.000
Sn  0.500  0.000  0.000
Sn  0.500  0.500  0.500

=====

Entry 7:
Compound: Pm3Zn6Cu5
Source: Alexandria
Functional: PBE
Structure: relaxed

Output
Raw total energy (eV/f.u.): -46.20
Size of the total moment (μB/atom): 0.000
Space-group type: Pmmn

abc: 4.325 12.697 8.996
angles: 90.00 90.00 90.00
Fractional coordinates of all 28 atoms:
Pm  0.250  0.050  0.246
Pm  0.250  0.450  0.246
Pm  0.250  0.750  0.264
Pm  0.750  0.250  0.736
Pm  0.750  0.550  0.754
Pm  0.750  0.950  0.754
Zn  0.250  0.077  0.591
Zn  0.250  0.250  0.045
Zn  0.250  0.250  0.431
Zn  0.250  0.423  0.591
Zn  0.250  0.611  0.977
Zn  0.250  0.889  0.977
Zn  0.750  0.111  0.023
Zn  0.750  0.389  0.023
Zn  0.750  0.577  0.409
Zn  0.750  0.750  0.569
Zn  0.750  0.750  0.955
Zn  0.750  0.923  0.409
Cu  0.250  0.091  0.875
Cu  0.250  0.409  0.875
Cu  0.250  0.631  0.548
Cu  0.250  0.750  0.771
Cu  0.250  0.869  0.548
Cu  0.750  0.131  0.452
Cu  0.750  0.250  0.229
Cu  0.750  0.369  0.452
Cu  0.750  0.591  0.125
Cu  0.750  0.909  0.125

=====

Entry 8:
Compound: CaVRh2
Source: Alexandria
Functional: PBE
Structure: relaxed

Output
Size of the total moment (μB/atom): 0.000
Space-group type: I-42d
Polymorph energy (0 for the lowest one) (meV per atom): 335.3

abc: 5.829 5.829 5.829
angles: 104.95 104.95 118.94
Fractional coordinates of all 8 atoms:
Ca  0.000  0.000  0.000
Ca  0.750  0.250  0.500
V  0.250  0.750  0.500
V  0.500  0.500  0.000
Rh  0.186  0.625  0.061
Rh  0.375  0.436  0.561
Rh  0.564  0.125  0.939
Rh  0.875  0.814  0.439